(1)
# Pm3Pr2Pb3

A relaxed structure of Pm3Pr2Pb3 (PBE, Alexandria).

Summary:
Space group ... Immm, No. 71
Formation energy from the elements ... -0.401 eV per atom

Unit cell a=4.550 b=5.023 c=11.442 alpha=102.68 beta=101.47 gamma=90.00
Sites, in units of the cell vectors:
Pm  0.381  0.381  0.762
Pm  0.619  0.619  0.238
Pb  0.872  0.872  0.744
Pb  0.128  0.128  0.256
Pr  0.257  0.757  0.514
Pm  0.500  0.000  0.000
Pr  0.743  0.243  0.486
Pb  0.000  0.500  0.000

=====

(2)
# SrYSb2

A relaxed structure of SrYSb2 (PBE, Alexandria).

Summary:
Energy relative to the elements, uncorrected ... -853 meV/atom
Space group ... Cm, No. 8

Unit cell a=6.409 b=6.409 c=4.796 alpha=84.19 beta=84.19 gamma=39.69
Sites, in units of the cell vectors:
Y  0.250  0.250  0.125
Sb  0.981  0.981  0.135
Sb  0.768  0.768  0.615
Sr  0.502  0.502  0.625

=====

(3)
# Pm7Dy2Y2

A relaxed structure of Pm7Dy2Y2 (PBE, Alexandria).

Summary:
Space group ... C2/m, No. 12
Formation energy from the elements ... 0.138 eV per atom

Unit cell a=8.210 b=6.993 c=6.993 alpha=104.84 beta=99.06 gamma=99.06
Sites, in units of the cell vectors:
Y  0.020  0.803  0.803
Dy  0.000  0.283  0.717
Pm  0.668  0.487  0.904
Pm  0.332  0.096  0.513
Pm  0.332  0.513  0.096
Dy  0.000  0.717  0.283
Pm  0.668  0.904  0.487
Pm  0.684  0.423  0.423
Pm  0.316  0.577  0.577
Y  0.980  0.197  0.197
Pm  0.500  0.000  0.000

=====

(4)
# Ta2CdPb

A relaxed structure of Ta2CdPb (PBE, Alexandria).

Summary:
Space group ... Pm, No. 6
Formation energy from the elements ... 0.481 eV per atom

Unit cell a=4.795 b=3.018 c=5.787 alpha=79.94 beta=90.00 gamma=90.00
Sites, in units of the cell vectors:
Ta  0.000  0.042  0.004
Cd  0.000  0.571  0.474
Ta  0.500  0.215  0.256
Pb  0.500  0.672  0.766

=====

(5)
# CdRuN2

A relaxed structure of CdRuN2 (PBE, Alexandria).

Summary:
Energy relative to the elements, uncorrected ... 515 meV/atom
Space group ... I-42d, No. 122

Unit cell a=4.885 b=4.885 c=5.914 alpha=65.60 beta=65.60 gamma=90.00
Sites, in units of the cell vectors:
Cd  0.000  0.000  0.000
Ru  0.250  0.750  0.500
Cd  0.750  0.250  0.500
N  0.375  0.439  0.750
N  0.189  0.625  0.250
N  0.561  0.125  0.250
Ru  0.500  0.500  0.000
N  0.875  0.811  0.750

=====

(6)
# Hf2GeO

A relaxed structure of Hf2GeO (PBE, Alexandria).

Summary:
Energy relative to the elements, uncorrected ... -724 meV/atom
Space group ... Fm-3m, No. 225

Unit cell a=4.478 b=4.478 c=4.478 alpha=60.00 beta=60.00 gamma=60.00
Sites, in units of the cell vectors:
Hf  0.750  0.750  0.750
Ge  0.500  0.500  0.500
O  0.000  0.000  0.000
Hf  0.250  0.250  0.250

=====

(7)
# HfSi2S6

A relaxed structure of HfSi2S6 (PBE, Alexandria).

Summary:
Energy relative to the elements, uncorrected ... -832 meV/atom
Space group ... C2/c, No. 15

Unit cell a=6.275 b=8.137 c=8.137 alpha=85.27 beta=80.80 gamma=80.80
Sites, in units of the cell vectors:
Si  0.811  0.376  0.224
S  0.353  0.400  0.880
S  0.147  0.120  0.600
S  0.369  0.043  0.185
S  0.131  0.815  0.957
S  0.647  0.600  0.120
Si  0.311  0.224  0.376
S  0.869  0.185  0.043
Si  0.689  0.776  0.624
S  0.601  0.293  0.441
S  0.399  0.707  0.559
S  0.853  0.880  0.400
Hf  0.250  0.124  0.876
S  0.631  0.957  0.815
Hf  0.750  0.876  0.124
Si  0.189  0.624  0.776
S  0.101  0.441  0.293
S  0.899  0.559  0.707

=====

(8)
# Pm3Y2TmTe6

A relaxed structure of Pm3Y2TmTe6 (PBE, Alexandria).

Summary:
Energy relative to the elements, uncorrected ... -1340 meV/atom
Space group ... C2/m, No. 12

Unit cell a=4.368 b=8.895 c=9.887 alpha=103.92 beta=102.76 gamma=90.00
Sites, in units of the cell vectors:
Tm  0.500  0.000  0.000
Te  0.668  0.578  0.336
Pm  0.169  0.834  0.338
Y  0.832  0.664  0.663
Y  0.168  0.336  0.337
Te  0.662  0.087  0.324
Pm  0.500  0.500  0.000
Pm  0.831  0.166  0.662
Te  0.338  0.913  0.676
Te  0.332  0.422  0.664
Te  0.999  0.759  0.997
Te  0.001  0.241  0.003

=====

(9)
# Na2ThCu9

A relaxed structure of Na2ThCu9 (PBE, Alexandria).

Summary:
Space group ... R-3m, No. 166
Formation energy from the elements ... -0.014 eV per atom

Unit cell a=5.088 b=5.088 c=8.933 alpha=73.45 beta=73.45 gamma=60.00
Sites, in units of the cell vectors:
Cu  0.668  0.668  0.995
Na  0.147  0.147  0.559
Cu  0.420  0.420  0.245
Cu  0.420  0.914  0.245
Cu  0.914  0.420  0.245
Cu  0.580  0.580  0.755
Th  0.000  0.000  0.000
Na  0.853  0.853  0.441
Cu  0.332  0.332  0.005
Cu  0.500  0.500  0.500
Cu  0.580  0.086  0.755
Cu  0.086  0.580  0.755

=====

(10)
# Hf2ZnCuH

A relaxed structure of Hf2ZnCuH (PBE, Alexandria).

Summary:
Space group ... P4/mmm, No. 123

Unit cell a=4.384 b=4.384 c=3.724 alpha=90.00 beta=90.00 gamma=90.00
Sites, in units of the cell vectors:
H  0.000  0.000  0.000
Zn  0.500  0.500  0.500
Cu  0.000  0.000  0.500
Hf  0.000  0.500  0.000
Hf  0.500  0.000  0.000

=====

(11)
# TcOs

A relaxed structure of TcOs (PBE, Alexandria).

Summary:
Space group ... R-3m, No. 166
Formation energy from the elements ... 0.064 eV per atom

Unit cell a=2.734 b=2.734 c=13.398 alpha=90.00 beta=90.00 gamma=120.00
Sites, in units of the cell vectors:
Tc  0.667  0.333  0.833
Os  0.000  0.000  0.000
Os  0.333  0.667  0.667
Tc  0.000  0.000  0.500
Os  0.667  0.333  0.333
Tc  0.333  0.667  0.167

=====

(12)
# CrCd2P

A relaxed structure of CrCd2P (PBE, Alexandria).

Summary:
Space group ... P4mm, No. 99
Formation energy from the elements ... 0.030 eV per atom

Unit cell a=3.086 b=3.086 c=7.265 alpha=90.00 beta=90.00 gamma=90.00
Sites, in units of the cell vectors:
Cd  0.500  0.500  0.282
Cd  0.000  0.000  0.974
Cr  0.000  0.000  0.566
P  0.500  0.500  0.678

=====

Number 1: DOS(E_F) 9.39 states/eV per cell, DFT total energy -38.146 eV per cell. Number 2: DOS(E_F) 2.29 states/eV per cell, DFT total energy -19.803 eV per cell. Number 3: DOS(E_F) 16.41 states/eV per cell, DFT total energy -53.865 eV per cell. Number 4: DOS(E_F) 2.19 states/eV per cell, DFT total energy -26.403 eV per cell. Number 5: DOS(E_F) 3.20 states/eV per cell, DFT total energy -49.565 eV per cell. Number 6: DOS(E_F) 3.52 states/eV per cell, DFT total energy -32.379 eV per cell. Number 7: DOS(E_F) 0.00 states/eV per cell, DFT total energy -106.109 eV per cell. Number 8: DOS(E_F) 6.33 states/eV per cell, DFT total energy -66.581 eV per cell. Number 9: DOS(E_F) 6.11 states/eV per cell, DFT total energy -47.093 eV per cell. Number 10: DOS(E_F) 3.07 states/eV per cell, DFT total energy -29.498 eV per cell. Number 11: DOS(E_F) 5.21 states/eV per cell, DFT total energy -64.402 eV per cell. Number 12: DOS(E_F) 1.29 states/eV per cell, DFT total energy -16.742 eV per cell.